# 1
# YHfAu6

An optimized crystal structure of YHfAu6 (PBE, OQMD via LeMat-Bulk).

abc: 4.939 6.157 5.052
angles: 90.00 90.00 90.00
Fractional positions:
Y1 0.000 0.000 0.000
Hf1 0.500 0.500 0.314
Au1 0.000 0.265 0.497
Au2 0.000 0.500 0.006
Au3 0.000 0.735 0.497
Au4 0.500 0.000 0.332
Au5 0.500 0.257 0.821
Au6 0.500 0.743 0.821

Output
As for the calculated total energy: -5.1003 eV per atom. Its space-group type is No. 25. As for the crystal system: orthorhombic. The formation enthalpy at 0 K is -0.60 eV/atom.

# 2
# Na2MgNiS4

An optimized crystal structure of Na2MgNiS4 (PBE, OQMD via LeMat-Bulk).

abc: 6.118 6.118 6.118
angles: 114.57 114.57 99.70
Fractional positions:
Na1 0.000 0.000 0.000
Na2 0.750 0.250 0.500
Mg1 0.500 0.500 0.000
Ni1 0.250 0.750 0.500
S1 0.167 0.091 0.543
S2 0.376 0.833 0.924
S3 0.548 0.624 0.457
S4 0.909 0.452 0.076

Output
As for the calculated total energy: -3.9491 eV per atom. Its space-group type is No. 82. As for the crystal system: tetragonal.

# 3
# KLiNiW

An optimized crystal structure of KLiNiW (PBE, OQMD via LeMat-Bulk).

abc: 4.845 4.845 4.845
angles: 60.00 60.00 60.00
Fractional positions:
K1 0.000 0.000 0.000
Li1 0.500 0.500 0.500
Ni1 0.750 0.750 0.750
W1 0.250 0.250 0.250

Output
As for the calculated total energy: -3.5690 eV per atom. Its space-group type is No. 216. As for the crystal system: cubic. Its energy above the most stable polymorph in this dataset is 440 meV per atom.

# 4
# TlZnPd

An optimized crystal structure of TlZnPd (PBE, OQMD via LeMat-Bulk).

abc: 4.517 4.517 4.517
angles: 60.00 60.00 60.00
Fractional positions:
Tl1 0.000 0.000 0.000
Zn1 0.250 0.250 0.250
Pd1 0.750 0.750 0.750

Output
As for the calculated total energy: -2.7503 eV per atom. Its space-group type is No. 216. As for the crystal system: cubic.